# 1
# Ho5Mg

Ho5Mg after structural relaxation (GGA-PBEsol, the Alexandria database).

a = 5.990 Å, b = 5.990 Å, c = 6.446 Å
α = 62.31°, β = 62.31°, γ = 60.00°
Atoms (fractional coordinates):
1 Mg 0.000 0.000 0.000
2 Ho 0.500 0.839 0.500
3 Ho 0.839 0.161 0.500
4 Ho 0.161 0.500 0.500
5 Ho 0.667 0.667 0.998
6 Ho 0.333 0.333 0.002

Summary:
N(E_F)	1.2720	states/eV/atom
energy	-4.3974	eV per atom
total magnetization	0.00	μB per formula unit
energy of formation	0.014	eV per atom
offset from the most stable computed form	0	meV/atom

# 2
# ScTaTl2Si

ScTaTl2Si after structural relaxation (GGA-PBEsol, the Alexandria database).

a = 4.822 Å, b = 5.216 Å, c = 5.216 Å
α = 90.00°, β = 90.00°, γ = 90.00°
Site moments in Bohr magnetons follow the coordinates.
Atoms (fractional coordinates):
1 Sc 0.000 0.000 0.000  -0.12
2 Tl 0.000 0.000 0.500  -0.01
3 Tl 0.000 0.500 0.000  -0.01
4 Si 0.500 0.000 0.000  -0.04
5 Ta 0.500 0.500 0.500  1.50

Summary:
N(E_F)	1.2884	states/eV/atom
energy	-4.5751	eV per atom
total magnetization	1.97	μB per formula unit
formation energy without anion corrections	1.46	eV per atom

# 3
# In2CoSb

In2CoSb after structural relaxation (GGA-PBEsol, the Alexandria database).

a = 3.021 Å, b = 4.402 Å, c = 6.783 Å
α = 108.94°, β = 102.86°, γ = 90.00°
Site moments in Bohr magnetons follow the coordinates.
Atoms (fractional coordinates):
1 Sb 0.575 0.575 0.150  0.00
2 Co 0.244 0.744 0.488  0.11
3 In 0.929 0.929 0.857  0.00
4 In 0.753 0.253 0.505  0.00

Summary:
N(E_F)	0.6144	states/eV/atom
energy	-4.5203	eV per atom
total magnetization	0.09	μB per formula unit
formation energy without anion corrections	0.04	eV per atom

# 4
# Li2ReTe

Li2ReTe after structural relaxation (GGA-PBEsol, the Alexandria database).

a = 2.928 Å, b = 2.928 Å, c = 9.400 Å
α = 81.04°, β = 81.04°, γ = 60.00°
Atoms (fractional coordinates):
1 Li 0.245 0.245 0.264
2 Li 0.755 0.755 0.736
3 Re 0.500 0.500 0.500
4 Te 0.000 0.000 0.000

Summary:
N(E_F)	0.4053	states/eV/atom
energy	-4.8769	eV per atom
total magnetization	0.00	μB per formula unit
formation energy without anion corrections	0.32	eV per atom
offset from the most stable computed form	32	meV/atom

# 5
# BaScZn3

BaScZn3 after structural relaxation (GGA-PBEsol, the Alexandria database).

a = 5.438 Å, b = 5.438 Å, c = 5.438 Å
α = 90.00°, β = 90.00°, γ = 90.00°
Site moments in Bohr magnetons follow the coordinates.
Atoms (fractional coordinates):
1 Sc 0.500 0.500 0.500  0.05
2 Zn 0.000 0.500 0.000  0.00
3 Zn 0.000 0.000 0.500  0.00
4 Zn 0.500 0.000 0.000  0.00
5 Ba 0.000 0.000 0.000  0.00

Summary:
N(E_F)	0.8750	states/eV/atom
energy	-1.5733	eV per atom
total magnetization	0.08	μB per formula unit
energy of formation	1.127	eV per atom

# 6
# Na3NbCu

Na3NbCu after structural relaxation (GGA-PBEsol, the Alexandria database).

a = 5.808 Å, b = 5.808 Å, c = 5.808 Å
α = 90.00°, β = 90.00°, γ = 90.00°
Site moments in Bohr magnetons follow the coordinates.
Atoms (fractional coordinates):
1 Na 0.000 0.500 0.000  0.05
2 Na 0.000 0.000 0.500  0.05
3 Na 0.500 0.000 0.000  0.05
4 Nb 0.000 0.000 0.000  3.32
5 Cu 0.500 0.500 0.500  -0.01

Summary:
N(E_F)	0.3693	states/eV/atom
energy	-2.1645	eV per atom
total magnetization	5.17	μB per formula unit
energy of formation	1.706	eV per atom

# 7
# TlCo2P

TlCo2P after structural relaxation (GGA-PBEsol, the Alexandria database).

a = 5.358 Å, b = 5.358 Å, c = 5.358 Å
α = 105.81°, β = 105.81°, γ = 117.08°
Atoms (fractional coordinates):
1 P 0.500 0.500 0.000
2 P 0.750 0.250 0.500
3 Tl 0.000 0.000 0.000
4 Tl 0.250 0.750 0.500
5 Co 0.625 0.548 0.423
6 Co 0.125 0.202 0.577
7 Co 0.798 0.375 0.923
8 Co 0.452 0.875 0.077

Summary:
N(E_F)	0.4677	states/eV/atom
energy	-5.8194	eV per atom
total magnetization	0.00	μB per formula unit
energy of formation	0.155	eV per atom

# 8
# La2RuCl

La2RuCl after structural relaxation (GGA-PBEsol, the Alexandria database).

a = 4.149 Å, b = 4.149 Å, c = 5.760 Å
α = 90.00°, β = 90.00°, γ = 90.00°
Atoms (fractional coordinates):
1 Ru 0.000 0.000 0.328
2 La 0.000 0.000 0.915
3 La 0.500 0.500 0.379
4 Cl 0.500 0.500 0.877

Summary:
N(E_F)	0.5397	states/eV/atom
energy	-6.6415	eV per atom
total magnetization	0.00	μB per formula unit
formation energy without anion corrections	-0.92	eV per atom
offset from the most stable computed form	18	meV/atom

# 9
# La2InAs

La2InAs after structural relaxation (GGA-PBEsol, the Alexandria database).

a = 3.654 Å, b = 3.654 Å, c = 8.596 Å
α = 90.00°, β = 90.00°, γ = 94.61°
Atoms (fractional coordinates):
1 As 0.000 0.000 0.470
2 In 0.500 0.500 0.300
3 La 0.000 0.000 0.049
4 La 0.500 0.500 0.681

Summary:
N(E_F)	1.1124	states/eV/atom
energy	-5.0811	eV per atom
total magnetization	0.00	μB per formula unit
energy of formation	-0.386	eV per atom
offset from the most stable computed form	356	meV/atom

# 10
# IrRuBr

IrRuBr after structural relaxation (GGA-PBEsol, the Alexandria database).

a = 2.771 Å, b = 2.836 Å, c = 7.095 Å
α = 84.52°, β = 78.74°, γ = 60.75°
Atoms (fractional coordinates):
1 Ru 0.331 0.000 0.338
2 Ir 0.677 0.000 0.645
3 Br 0.991 0.000 0.017

Summary:
N(E_F)	1.3538	states/eV/atom
energy	-6.4045	eV per atom
total magnetization	0.00	μB per formula unit
formation energy without anion corrections	0.88	eV per atom
offset from the most stable computed form	0	meV/atom

# 11
# SrMn2Nb2

SrMn2Nb2 after structural relaxation (GGA-PBEsol, the Alexandria database).

a = 4.075 Å, b = 4.075 Å, c = 6.512 Å
α = 108.23°, β = 108.23°, γ = 90.00°
Atoms (fractional coordinates):
1 Sr 0.000 0.000 0.000
2 Nb 0.361 0.361 0.722
3 Nb 0.639 0.639 0.278
4 Mn 0.250 0.750 0.500
5 Mn 0.750 0.250 0.500

Summary:
N(E_F)	1.1716	states/eV/atom
energy	-7.9563	eV per atom
total magnetization	0.01	μB per formula unit
energy of formation	0.645	eV per atom

# 12
# YMnTe2

YMnTe2 after structural relaxation (GGA-PBEsol, the Alexandria database).

a = 3.987 Å, b = 4.024 Å, c = 6.781 Å
α = 90.00°, β = 107.09°, γ = 90.00°
Site moments in Bohr magnetons follow the coordinates.
Atoms (fractional coordinates):
1 Mn 0.506 0.500 0.886  3.97
2 Te 0.981 0.000 0.837  0.04
3 Te 0.713 0.500 0.302  0.02
4 Y 0.300 0.000 0.475  -0.06

Summary:
N(E_F)	0.4871	states/eV/atom
energy	-6.5929	eV per atom
total magnetization	4.27	μB per formula unit
formation energy without anion corrections	-0.68	eV per atom